A relaxed structure of Cd2NiPd, computed with PBE.

abc: 3.1858 3.1858 6.5036
angles: 90.00 90.00 90.00
With the nearest neighbours (Å) after each atom.
Positions (direct):
Cd  0.0000  0.0000  0.2363  4 Ni 2.73, 4 Pd 2.83
Cd  0.0000  0.0000  0.7637  4 Ni 2.73, 4 Pd 2.83
Ni  0.5000  0.5000  0.0000  8 Cd 2.73
Pd  0.5000  0.5000  0.5000  8 Cd 2.83

Values from the calculation:
Formation energy from the elements in eV/atom: -0.16

A relaxed structure of PmPa4Ge5, computed with PBE.

abc: 11.0052 11.0052 11.0052
angles: 158.19 149.02 38.20
With the nearest neighbours (Å) after each atom.
Positions (direct):
Pm  0.0000  0.0000  0.0000  6 Ge 2.94-3.01
Pa  0.2009  0.2009  0.0000  6 Ge 2.89-2.94
Pa  0.4003  0.4003  0.0000  6 Ge 2.94
Pa  0.5997  0.5997  0.0000  6 Ge 2.94
Pa  0.7991  0.7991  0.0000  6 Ge 2.89-2.94
Ge  0.1045  0.6045  0.5000  4 Pa 2.89-2.94, 2 Pm 3.01
Ge  0.3008  0.8008  0.5000  6 Pa 2.94
Ge  0.5000  0.0000  0.5000  4 Pa 2.94, 2 Pm 2.94
Ge  0.6992  0.1992  0.5000  6 Pa 2.94
Ge  0.8955  0.3955  0.5000  4 Pa 2.89-2.94, 2 Pm 3.01

Values from the calculation:
Formation energy from the elements in eV/atom: -0.50

A relaxed structure of NiC2, computed with PBE.

abc: 4.3030 4.3030 7.0870
angles: 116.07 116.07 33.34
With the nearest neighbours (Å) after each atom.
Positions (direct):
Ni  0.2129  0.2129  0.3146  4 C 1.91-1.92
Ni  0.7871  0.7871  0.6854  4 C 1.91-1.92
C  0.0899  0.0899  0.5432  1 C 1.32
C  0.4355  0.4355  0.9030  1 C 1.30
C  0.5645  0.5645  0.0970  1 C 1.30
C  0.9101  0.9101  0.4568  1 C 1.32

Values from the calculation:
Distance to the lowest polymorph of the same formula in meV per atom: 539
Formation energy from the elements in eV/atom: 0.96

A relaxed structure of YScMn, computed with PBE.

abc: 4.8201 4.8201 4.8201
angles: 60.00 60.00 60.00
With the nearest neighbours (Å) after each atom.
Positions (direct):
Y  0.0000  0.0000  0.0000  4 Sc 2.95, 4 Mn 2.95
Sc  0.7500  0.7500  0.7500  4 Y 2.95
Mn  0.2500  0.2500  0.2500  4 Y 2.95

Values from the calculation:
Distance to the lowest polymorph of the same formula in meV per atom: 885
Formation energy from the elements in eV/atom: 1.00

A relaxed structure of V2Zn2Ag, computed with PBE.

abc: 7.0770 7.0770 2.9807
angles: 90.00 90.00 90.00
With the nearest neighbours (Å) after each atom.
Positions (direct):
V  0.1737  0.3263  0.0000  6 Zn 2.51-2.61
V  0.3263  0.8263  0.0000  6 Zn 2.51-2.61
V  0.6737  0.1737  0.0000  6 Zn 2.51-2.61
V  0.8263  0.6737  0.0000  6 Zn 2.51-2.61
Zn  0.1246  0.6246  0.5000  1 Zn 2.49, 6 V 2.51-2.61
Zn  0.3754  0.1246  0.5000  1 Zn 2.49, 6 V 2.51-2.61
Zn  0.6246  0.8754  0.5000  1 Zn 2.49, 6 V 2.51-2.61
Zn  0.8754  0.3754  0.5000  1 Zn 2.49, 6 V 2.51-2.61
Ag  0.0000  0.0000  0.5000  4 Zn 2.80, 2 Ag 2.98, 8 V 3.01
Ag  0.5000  0.5000  0.5000  4 Zn 2.80, 2 Ag 2.98, 8 V 3.01

Values from the calculation:
Distance to the lowest polymorph of the same formula in meV per atom: 19
Formation energy from the elements in eV/atom: 0.32

A relaxed structure of CrTeRh, computed with PBE.

abc: 3.7422 3.9703 4.0110
angles: 90.00 90.00 90.00
With the nearest neighbours (Å) after each atom.
Positions (direct):
Cr  0.0000  0.0000  0.0000  4 Rh 2.73, 4 Te 2.82
Te  0.0000  0.5000  0.5000  4 Rh 2.74, 4 Cr 2.82
Rh  0.5000  0.5000  0.0000  4 Cr 2.73, 4 Te 2.74

Values from the calculation:
Raw formation energy in eV/f.u.: 0.5

no.,E (eV per atom)
1,-3.357
2,-7.087
3,-7.118
4,-6.322
5,-4.403
6,-6.543